The following is a DFT calculation (PBE) of a geometry-optimized PaGePt structure.

a b c (Å): 4.701 4.701 4.701
angles (deg): 60.00 60.00 60.00
Sites, in units of the cell vectors:
Ge 0.250 0.250 0.250
Pa 0.000 0.000 0.000
Pt 0.750 0.750 0.750

The value obtained for the total DFT energy (no corrections) is -20.88 eV per formula unit. Its mass density is 11.3 g/cm³.